First-principles (PBE-GGA) data for a geometry-optimized Ce2Er8Tm3 structure, as listed in Alexandria via LeMat-Bulk.

It has space group C2/m (No. 12), with a = 14.5822 Å, b = 9.0421 Å, c = 6.7059 Å, α = 90.00°, β = 108.33° and γ = 90.00°. The inequivalent atoms are Ce at (0.2160, 0.0000, 0.4132), Er at (0.0823, 0.5000, 0.7265), Er at (0.1178, 0.3168, 0.1768), Er at (0.1902, 0.0000, 0.8870), Tm at (0.0000, 0.0000, 0.0000) and Tm at (0.0000, 0.1725, 0.5000).

The total energy comes out at -4.478 eV per atom. The spin magnetization is 2.2 μB per formula unit. Its formation energy is 345 kJ/mol of formula units. The value obtained for the density of states at the Fermi level is 25.77 states/eV/f.u.